Record 1
Compound: K2PdPt
Source: the Alexandria database
Functional: meta-GGA SCAN
Structure: single point on PBEsol structure

As for the energy of formation: 0.425 eV/atom.

Unit cell a=5.108 b=5.108 c=5.108 alpha=60.00 beta=60.00 gamma=60.00
Element x y z (fractional)
K 0.250 0.250 0.250
K 0.750 0.750 0.750
Pd 0.000 0.000 0.000
Pt 0.500 0.500 0.500

---

Record 2
Compound: K2RbPd2
Source: the Alexandria database
Functional: meta-GGA SCAN
Structure: single point on PBEsol structure

As for the energy of formation: 0.205 eV/atom.

Unit cell a=7.208 b=7.208 c=7.208 alpha=137.94 beta=137.94 gamma=61.00
Element x y z (fractional)
K 0.250 0.750 0.500
K 0.750 0.250 0.500
Rb 0.000 0.000 0.000
Pd 0.397 0.397 0.000
Pd 0.603 0.603 0.000

---

Record 3
Compound: KRbPd2
Source: the Alexandria database
Functional: meta-GGA SCAN
Structure: single point on PBEsol structure

As for the energy of formation: 0.450 eV/atom.

Unit cell a=5.261 b=5.261 c=5.261 alpha=60.00 beta=60.00 gamma=60.00
Element x y z (fractional)
K 0.000 0.000 0.000
Rb 0.500 0.500 0.500
Pd 0.250 0.250 0.250
Pd 0.750 0.750 0.750

---

Record 4
Compound: K3PdRu
Source: the Alexandria database
Functional: meta-GGA SCAN
Structure: single point on PBEsol structure

As for the energy of formation: 1.047 eV/atom.

Unit cell a=5.896 b=5.896 c=5.896 alpha=90.00 beta=90.00 gamma=90.00
Element x y z (fractional)
K 0.000 0.000 0.500
K 0.000 0.500 0.000
K 0.500 0.000 0.000
Pd 0.000 0.000 0.000
Ru 0.500 0.500 0.500

---

Record 5
Compound: KPd2S
Source: the Alexandria database
Functional: meta-GGA SCAN
Structure: single point on PBEsol structure

The value obtained for the raw total energy is -85.79 eV per formula unit.

Unit cell a=8.199 b=8.199 c=8.199 alpha=142.48 beta=142.48 gamma=54.11
Element x y z (fractional)
K 0.375 0.625 0.750
K 0.625 0.375 0.250
Pd 0.000 0.000 0.000
Pd 0.000 0.000 0.500
Pd 0.000 0.500 0.000
Pd 0.500 0.000 0.500
S 0.125 0.875 0.250
S 0.875 0.125 0.750

---

Record 6
Compound: K3SbPd
Source: the Alexandria database
Functional: meta-GGA SCAN
Structure: single point on PBEsol structure

The value obtained for the raw total energy is -94.29 eV per formula unit.

Unit cell a=5.841 b=5.841 c=5.841 alpha=90.00 beta=90.00 gamma=90.00
Element x y z (fractional)
K 0.000 0.000 0.500
K 0.000 0.500 0.000
K 0.500 0.000 0.000
Sb 0.500 0.500 0.500
Pd 0.000 0.000 0.000

---

Record 7
Compound: K2Sb2Pd
Source: the Alexandria database
Functional: meta-GGA SCAN
Structure: single point on PBEsol structure

The value obtained for the raw total energy is -126.41 eV per formula unit.

Unit cell a=6.979 b=6.979 c=5.762 alpha=90.00 beta=90.00 gamma=90.00
Element x y z (fractional)
K 0.169 0.331 0.000
K 0.331 0.831 0.000
K 0.669 0.169 0.000
K 0.831 0.669 0.000
Sb 0.147 0.647 0.500
Sb 0.353 0.147 0.500
Sb 0.647 0.853 0.500
Sb 0.853 0.353 0.500
Pd 0.000 0.000 0.500
Pd 0.500 0.500 0.500

---

Record 8
Compound: KSbPd2
Source: the Alexandria database
Functional: meta-GGA SCAN
Structure: single point on PBEsol structure

The value obtained for the raw total energy is -111.31 eV per formula unit.

Unit cell a=6.405 b=6.405 c=6.405 alpha=105.58 beta=105.58 gamma=117.58
Element x y z (fractional)
K 0.000 0.000 0.000
K 0.750 0.250 0.500
Sb 0.250 0.750 0.500
Sb 0.500 0.500 0.000
Pd 0.193 0.625 0.068
Pd 0.375 0.443 0.568
Pd 0.557 0.125 0.932
Pd 0.875 0.807 0.432

---

Record 9
Compound: KSb3Pd
Source: the Alexandria database
Functional: meta-GGA SCAN
Structure: single point on PBEsol structure

The value obtained for the raw total energy is -152.75 eV per formula unit.

Unit cell a=5.295 b=5.295 c=5.295 alpha=90.00 beta=90.00 gamma=90.00
Element x y z (fractional)
K 0.000 0.000 0.000
Sb 0.000 0.500 0.500
Sb 0.500 0.000 0.500
Sb 0.500 0.500 0.000
Pd 0.500 0.500 0.500

---

Record 10
Compound: KSbPd3
Source: the Alexandria database
Functional: meta-GGA SCAN
Structure: single point on PBEsol structure

The value obtained for the raw total energy is -137.75 eV per formula unit.

Unit cell a=4.808 b=4.808 c=4.808 alpha=90.00 beta=90.00 gamma=90.00
Element x y z (fractional)
K 0.000 0.000 0.000
Sb 0.500 0.500 0.500
Pd 0.000 0.000 0.500
Pd 0.000 0.500 0.000
Pd 0.500 0.000 0.000

---

Record 11
Compound: KSbTe2Pd
Source: the Alexandria database
Functional: meta-GGA SCAN
Structure: single point on PBEsol structure

The value obtained for the raw total energy is -154.06 eV per formula unit.

Unit cell a=5.511 b=5.511 c=5.028 alpha=90.00 beta=90.00 gamma=90.00
Element x y z (fractional)
K 0.000 0.000 0.000
Sb 0.500 0.500 0.000
Te 0.000 0.500 0.500
Te 0.500 0.000 0.500
Pd 0.500 0.500 0.500

---

Record 12
Compound: KYPd2Se
Source: the Alexandria database
Functional: meta-GGA SCAN
Structure: single point on PBEsol structure

The value obtained for the raw total energy is -119.30 eV per formula unit.

Unit cell a=4.720 b=4.720 c=5.528 alpha=90.00 beta=90.00 gamma=90.00
Element x y z (fractional)
K 0.000 0.000 0.000
Y 0.500 0.500 0.500
Pd 0.000 0.500 0.000
Pd 0.500 0.000 0.000
Se 0.000 0.000 0.500

---

DOS at the Fermi energy, respectively: 0.364 0.364 0.352 1.922 0.236 0.392 0.481 0.429 1.062 0.645 0.572 0.308 states/eV/atom.